No. 1
Ba8LiPt2Rh PBE optimized geometry; formation energy from the elements = -395 kJ/mol of formula units
1.0
-3.996 3.330 -5.798
-6.117 0.643 4.398
2.956 8.534 2.864
Rh Ba Pt Li
1 8 2 1
Direct
0.000 0.000 0.000
0.824 0.241 0.774
0.322 0.261 0.000
0.176 0.759 0.774
0.353 0.286 0.500
0.824 0.241 0.226
0.647 0.714 0.500
0.678 0.739 0.000
0.176 0.759 0.226
0.500 0.500 0.757
0.500 0.500 0.243
0.000 0.000 0.500

No. 2
BaLiPtSe2 PBE optimized geometry; raw formation energy = 0.377 eV per atom
1.0
-0.553 -0.201 6.127
-3.987 -3.881 -0.487
4.275 -4.422 0.241
Pt Li Se Ba
1 1 2 1
Direct
0.000 0.500 0.000
0.500 0.500 0.500
0.500 0.000 0.000
0.000 0.000 0.500
0.000 0.000 0.000

No. 3
BaLiSi2Pt2 PBE optimized geometry; raw formation energy = -0.830 eV per atom
1.0
4.273 0.000 0.000
-2.137 3.701 0.000
0.000 0.000 7.572
Si Ba Li Pt
2 1 1 2
Direct
0.333 0.667 0.326
0.667 0.333 0.674
0.000 0.000 0.000
0.000 0.000 0.500
0.667 0.333 0.345
0.333 0.667 0.655

no.,E_tot (eV/atom)
1,-3.402
2,-2.992
3,-5.290